## Cs3SrCd2I9 (PBE)

Data for a geometry-optimized Cs3SrCd2I9 structure.

a b c (Å): 8.7143 8.7143 10.7406
angles (deg): 90.00 90.00 120.00
Element x y z (fractional)
1 Cs 0.3333 0.6667 0.6796
2 Cs 0.0000 0.0000 0.0000
3 Cs 0.6667 0.3333 0.3204
4 Sr 0.0000 0.0000 0.5000
5 Cd 0.3333 0.6667 0.1598
6 Cd 0.6667 0.3333 0.8402
7 I 0.8276 0.1724 0.6775
8 I 0.8276 0.6552 0.6775
9 I 0.3448 0.1724 0.6775
10 I 0.6552 0.8276 0.3225
11 I 0.1724 0.3448 0.3225
12 I 0.1724 0.8276 0.3225
13 I 0.5000 0.0000 0.0000
14 I 0.0000 0.5000 0.0000
15 I 0.5000 0.5000 0.0000

Output
Symmetry: P-3m1, No. 164
Electronic total energy, eV per atom: -2.4944
Crystal system: trigonal